# 1
Material: MnWC3
Method: DFT, PBE-GGA
State: optimized geometry

The structure in extended XYZ format:
```
5
Lattice="-3.576 0.657 0.608 -0.881 -2.143 -2.866 -0.158 -2.926 2.236" Properties=species:S:1:pos:R:3 pbc="T T T"
C -1.788 0.329 0.304
C -0.079 -1.463 1.118
C -0.440 -1.072 -1.433
Mn 0.000 0.000 0.000
W -2.307 -2.206 -0.011
```

Polymorph energy (0 for the lowest one)   0.0 meV per atom
ΔE_f   2.083 eV/atom
Total moment   0.00 μB per formula unit

# 2
Material: MnWC3
Method: DFT, PBE-GGA
State: optimized geometry

The structure in extended XYZ format:
```
5
Lattice="-1.129 1.089 -3.730 -3.588 -1.783 0.565 -1.491 3.465 1.463" Properties=species:S:1:pos:R:3 pbc="T T T"
W 0.000 0.000 0.000
C -0.564 0.545 -1.865
C -0.746 1.732 0.732
C -1.794 -0.892 0.283
Mn -3.104 1.385 -0.850
```

Polymorph energy (0 for the lowest one)   204.2 meV per atom
ΔE_f   2.288 eV/atom
Total moment   0.27 μB per formula unit

- Number 1 is which compound?
  MnWC3